{"formula": "NiS2O12", "functional": "GGA+U", "state": "relaxed", "space_group": "P-1, No. 2", "e_above_lowest_polymorph_ev_per_atom": 0.0550, "lattice": [[6.1591, 0.0000, 0.0000], [2.2944, 6.5080, 0.0000], [0.2223, 0.9633, 7.0172]], "species": ["Ni", "S", "S", "O", "O", "O", "O", "O", "O", "O", "O", "O", "O", "O", "O"], "frac_coords": [[0.0000, 0.0000, 0.0000], [0.0925, 0.7232, 0.7844], [0.9075, 0.2768, 0.2156], [0.0100, 0.7275, 0.9956], [0.0806, 0.2951, 0.3377], [0.0963, 0.9538, 0.7586], [0.3221, 0.5783, 0.7728], [0.4924, 0.8665, 0.2443], [0.5002, 0.1690, 0.5832], [0.4998, 0.8310, 0.4168], [0.5076, 0.1335, 0.7557], [0.6779, 0.4217, 0.2272], [0.9037, 0.0462, 0.2414], [0.9194, 0.7049, 0.6623], [0.9900, 0.2725, 0.0044]]}